[1]
This record from Alexandria describes crystalline FeRe2W at its relaxed geometry. The functional is GGA-PBE.

mass density: 17.592 Mg/m³
SG: No. 139
final energy: -11.423 eV per atom
total magnetic moment: 1.30 Bohr magnetons per cell
ΔE_f: 15 kJ/mol of atoms

abc: 4.722 4.722 4.722
angles: 131.54 131.54 70.96
Each line ends with the local moment (μB).
Element x y z (fractional)
Fe 0.750 0.250 0.500  1.50
Re 0.000 0.000 0.000  -0.10
Re 0.500 0.500 0.000  -0.10
W 0.250 0.750 0.500  0.01

***

[2]
This record from Alexandria describes crystalline FeReW2 at its relaxed geometry. The functional is GGA-PBE.

mass density: 16.910 Mg/m³
SG: No. 10
final energy: -11.588 eV per atom
total magnetic moment: 2.54 Bohr magnetons per cell
ΔE_f: 11 kJ/mol of atoms

abc: 4.369 2.686 5.184
angles: 79.71 90.00 90.00
Each line ends with the local moment (μB).
Element x y z (fractional)
Fe 0.500 0.250 0.250  2.43
Re 0.500 0.750 0.750  0.07
W 0.000 0.002 0.004  0.02
W 0.000 0.498 0.496  0.02

***

[3]
This record from Alexandria describes crystalline Fe2ReW at its relaxed geometry. The functional is GGA-PBE.

mass density: 14.589 Mg/m³
SG: No. 6
final energy: -10.502 eV per atom
total magnetic moment: 4.44 Bohr magnetons per cell
ΔE_f: 8 kJ/mol of atoms

abc: 4.255 2.617 4.989
angles: 80.81 90.00 90.00
Each line ends with the local moment (μB).
Element x y z (fractional)
Fe 0.000 0.021 0.010  2.28
Fe 0.500 0.226 0.243  2.31
Re 0.000 0.507 0.488  0.01
W 0.500 0.746 0.759  -0.11

***

[4]
This record from Alexandria describes crystalline FeReW2 at its relaxed geometry. The functional is GGA-PBE.

mass density: 17.162 Mg/m³
SG: No. 123
final energy: -11.511 eV per atom
total magnetic moment: 1.58 Bohr magnetons per cell
ΔE_f: 19 kJ/mol of atoms

abc: 3.808 3.936 3.936
angles: 90.00 90.00 90.00
Each line ends with the local moment (μB).
Element x y z (fractional)
Fe 0.500 0.500 0.000  1.72
Re 0.500 0.000 0.500  -0.03
W 0.000 0.000 0.000  -0.06
W 0.000 0.500 0.500  -0.06